1.
Crystalline GdAlNiPd at its relaxed geometry, computed with PBE-GGA.

a = 4.624 Å, b = 4.624 Å, c = 4.624 Å
α = 60.00°, β = 60.00°, γ = 60.00°
Fractional coordinates of all 4 atoms:
Ni 0.250 0.250 0.250
Gd 0.000 0.000 0.000
Al 0.500 0.500 0.500
Pd 0.750 0.750 0.750

space-group type	F-43m (216)

2.
Crystalline Pr2CoTc2N6 at its relaxed geometry, computed with PBE-GGA.

a = 5.843 Å, b = 5.843 Å, c = 6.172 Å
α = 61.75°, β = 61.75°, γ = 60.00°
Fractional coordinates of all 11 atoms:
Pr 0.794 0.794 0.618
Pr 0.206 0.206 0.382
Co 0.000 0.000 0.000
Tc 0.424 0.424 0.728
Tc 0.576 0.576 0.272
N 0.771 0.771 0.232
N 0.227 0.771 0.232
N 0.771 0.227 0.232
N 0.229 0.773 0.768
N 0.773 0.229 0.768
N 0.229 0.229 0.768

formation energy from raw total energies	-0.183	eV/atom
space-group type	R-3m (166)

3.
Crystalline SrTlPt2Rh at its relaxed geometry, computed with PBE-GGA.

a = 5.112 Å, b = 5.044 Å, c = 5.112 Å
α = 90.00°, β = 90.00°, γ = 90.00°
Fractional coordinates of all 5 atoms:
Sr 0.500 0.500 0.500
Tl 0.000 0.000 0.000
Rh 0.000 0.500 0.000
Pt 0.000 0.000 0.500
Pt 0.500 0.000 0.000

space-group type	P4/mmm (123)

4.
Crystalline SiHgOs2 at its relaxed geometry, computed with PBE-GGA.

a = 5.275 Å, b = 4.989 Å, c = 2.872 Å
α = 89.01°, β = 74.69°, γ = 117.92°
Fractional coordinates of all 4 atoms:
Hg 0.500 0.000 0.500
Os 0.000 0.000 0.000
Os 0.000 0.500 0.500
Si 0.500 0.500 0.000

formation energy from raw total energies	0.800	eV/atom
space-group type	C2/m (12)

5.
Crystalline Tm6Mg2Fe at its relaxed geometry, computed with PBE-GGA.

a = 3.598 Å, b = 8.749 Å, c = 8.749 Å
α = 120.00°, β = 90.00°, γ = 90.00°
Fractional coordinates of all 9 atoms:
Tm 0.000 0.000 0.235
Tm 0.000 0.765 0.765
Tm 0.000 0.235 0.000
Tm 0.500 0.618 0.000
Tm 0.500 0.382 0.382
Tm 0.500 0.000 0.618
Mg 0.000 0.667 0.333
Mg 0.000 0.333 0.667
Fe 0.500 0.000 0.000

space-group type	P-62m (189)

6.
Crystalline PuSi2Ru4 at its relaxed geometry, computed with PBE-GGA.

a = 3.875 Å, b = 7.519 Å, c = 7.519 Å
α = 90.00°, β = 90.00°, γ = 90.00°
Fractional coordinates of all 14 atoms:
Pu 0.500 0.000 0.000
Pu 0.000 0.500 0.500
Si 0.000 0.219 0.781
Si 0.000 0.781 0.219
Si 0.500 0.719 0.719
Si 0.500 0.281 0.281
Ru 0.000 0.079 0.341
Ru 0.000 0.921 0.659
Ru 0.500 0.159 0.579
Ru 0.500 0.841 0.421
Ru 0.500 0.421 0.841
Ru 0.500 0.579 0.159
Ru 0.000 0.341 0.079
Ru 0.000 0.659 0.921

formation energy from raw total energies	-0.480	eV/atom
space-group type	P4_2/mnm (136)

7.
Crystalline BaY2O at its relaxed geometry, computed with PBE-GGA.

a = 7.335 Å, b = 7.335 Å, c = 7.336 Å
α = 60.00°, β = 60.00°, γ = 90.00°
Fractional coordinates of all 8 atoms:
Y 0.374 0.125 0.250
Y 0.376 0.625 0.250
Y 0.375 0.626 0.750
Y 0.875 0.624 0.750
Ba 0.000 0.000 0.000
Ba 0.750 0.250 0.500
O 0.500 0.500 0.000
O 0.250 0.750 0.500

formation energy from raw total energies	-1.324	eV/atom
space-group type	I-42d (122)

8.
Crystalline PrZnPd2 at its relaxed geometry, computed with PBE-GGA.

a = 5.757 Å, b = 7.253 Å, c = 7.481 Å
α = 90.00°, β = 90.00°, γ = 90.00°
Fractional coordinates of all 16 atoms:
Pr 0.360 0.250 0.030
Pr 0.860 0.750 0.470
Pr 0.640 0.750 0.970
Pr 0.140 0.250 0.530
Zn 0.646 0.250 0.384
Zn 0.146 0.750 0.116
Zn 0.354 0.750 0.616
Zn 0.854 0.250 0.884
Pd 0.912 0.052 0.180
Pd 0.412 0.948 0.320
Pd 0.088 0.552 0.820
Pd 0.588 0.448 0.680
Pd 0.088 0.948 0.820
Pd 0.588 0.052 0.680
Pd 0.912 0.448 0.180
Pd 0.412 0.552 0.320

space-group type	Pnma (62)

no.,size of the total moment (μB per formula unit),electronic total energy (eV/atom)
1,7.3,-7.773
2,0.0,-8.124
3,0.0,-4.262
4,0.0,-6.246
5,0.2,-4.259
6,4.5,-9.378
7,0.0,-6.277
8,0.0,-4.817